Entry 1:
Density functional theory data (meta-GGA SCAN) for a PBEsol-optimized structure of CaHfB2.

Unit cell a=4.305 b=4.305 c=4.305 alpha=60.00 beta=60.00 gamma=60.00
Element x y z (fractional)
B  0.750  0.750  0.750
B  0.250  0.250  0.250
Hf  0.500  0.500  0.500
Ca  0.000  0.000  0.000

Computed properties:
**Energy above the most stable polymorph in this dataset**: 0.00 kcal/mol of atoms
**Size of the total moment**: 0.0 μB/cell
**Formation energy**: 2.15 eV/f.u.

---

Entry 2:
Density functional theory data (meta-GGA SCAN) for a PBEsol-optimized structure of InOs3N.

Unit cell a=4.871 b=4.871 c=4.871 alpha=90.00 beta=90.00 gamma=90.00
Element x y z (fractional)
In  0.000  0.000  0.000
Os  0.500  0.000  0.000
Os  0.000  0.500  0.000
Os  0.000  0.000  0.500
N  0.500  0.500  0.500

Computed properties:
**Calculated total energy**: -3.48233 Ry/atom
**Size of the total moment**: 9.0 μB/cell

---

Entry 3:
Density functional theory data (meta-GGA SCAN) for a PBEsol-optimized structure of NaInBr2.

Unit cell a=4.826 b=4.826 c=9.098 alpha=74.62 beta=74.62 gamma=60.00
Element x y z (fractional)
Br  0.899  0.899  0.304
Br  0.101  0.101  0.696
In  0.500  0.500  0.500
Na  0.000  0.000  0.000

Computed properties:
**Energy above the most stable polymorph in this dataset**: 3.41 kcal/mol of atoms
**Size of the total moment**: 0.0 μB/cell

---

Entry 4:
Density functional theory data (meta-GGA SCAN) for a PBEsol-optimized structure of CsHg2Bi2.

Unit cell a=5.568 b=5.568 c=6.813 alpha=114.12 beta=114.12 gamma=90.00
Element x y z (fractional)
Hg  0.750  0.250  0.500
Hg  0.250  0.750  0.500
Bi  0.637  0.637  0.273
Bi  0.363  0.363  0.727
Cs  0.000  0.000  0.000

Computed properties:
**Size of the total moment**: 0.0 μB/cell
**Formation energy**: -1.33 eV/f.u.

---

Entry 5:
Density functional theory data (meta-GGA SCAN) for a PBEsol-optimized structure of HgMo2Pt.

Unit cell a=2.749 b=2.749 c=8.466 alpha=90.00 beta=90.00 gamma=90.00
Element x y z (fractional)
Hg  0.500  0.500  0.500
Mo  0.000  0.000  0.236
Mo  0.000  0.000  0.764
Pt  0.500  0.500  0.000

Computed properties:
**Energy above the most stable polymorph in this dataset**: 0.30 kcal/mol of atoms
**Size of the total moment**: 0.0 μB/cell
**Formation energy**: 0.58 eV/f.u.

---

Entry 6:
Density functional theory data (meta-GGA SCAN) for a PBEsol-optimized structure of InTc3S.

Unit cell a=4.328 b=4.328 c=4.328 alpha=90.00 beta=90.00 gamma=90.00
Element x y z (fractional)
Tc  0.000  0.000  0.500
Tc  0.000  0.500  0.000
Tc  0.500  0.000  0.000
S  0.000  0.000  0.000
In  0.500  0.500  0.500

Computed properties:
**Calculated total energy**: -2.15457 Ry/atom
**Size of the total moment**: 1.8 μB/cell

---

Entry 7:
Density functional theory data (meta-GGA SCAN) for a PBEsol-optimized structure of Ag2Pt.

Unit cell a=4.855 b=6.339 c=6.339 alpha=84.79 beta=81.68 gamma=81.68
Element x y z (fractional)
Ag  0.995  0.831  0.667
Ag  0.495  0.667  0.831
Ag  0.750  0.914  0.086
Ag  0.505  0.333  0.169
Ag  0.005  0.169  0.333
Ag  0.750  0.253  0.747
Ag  0.250  0.086  0.914
Ag  0.250  0.747  0.253
Pt  0.500  0.000  0.500
Pt  0.000  0.500  0.000
Pt  0.250  0.414  0.586
Pt  0.750  0.586  0.414

Computed properties:
**Energy above the most stable polymorph in this dataset**: 0.54 kcal/mol of atoms
**Size of the total moment**: 0.0 μB/cell
**Formation energy**: 0.04 eV/f.u.

---

Entry 8:
Density functional theory data (meta-GGA SCAN) for a PBEsol-optimized structure of AgSb2TePt.

Unit cell a=5.143 b=5.143 c=5.205 alpha=90.00 beta=90.00 gamma=90.00
Element x y z (fractional)
Sb  0.500  0.000  0.000
Sb  0.000  0.500  0.000
Te  0.000  0.000  0.500
Ag  0.000  0.000  0.000
Pt  0.500  0.500  0.500

Computed properties:
**Energy above the most stable polymorph in this dataset**: 14.65 kcal/mol of atoms
**Size of the total moment**: 0.0 μB/cell

---

Entry 9:
Density functional theory data (meta-GGA SCAN) for a PBEsol-optimized structure of TaRh3S.

Unit cell a=4.651 b=4.651 c=4.651 alpha=90.00 beta=90.00 gamma=90.00
Element x y z (fractional)
Ta  0.000  0.000  0.000
Rh  0.000  0.000  0.500
Rh  0.000  0.500  0.000
Rh  0.500  0.000  0.000
S  0.500  0.500  0.500

Computed properties:
**Calculated total energy**: -2.51695 Ry/atom
**Size of the total moment**: 0.0 μB/cell

---

Entry 10:
Density functional theory data (meta-GGA SCAN) for a PBEsol-optimized structure of AlFe2W2.

Unit cell a=4.009 b=4.009 c=5.445 alpha=111.60 beta=111.60 gamma=90.00
Element x y z (fractional)
W  0.250  0.750  0.500
W  0.750  0.250  0.500
Al  0.000  0.000  0.000
Fe  0.387  0.387  0.775
Fe  0.613  0.613  0.225

Computed properties:
**Size of the total moment**: 0.0 μB/cell
**Formation energy**: 2.14 eV/f.u.

---

Entry 11:
Density functional theory data (meta-GGA SCAN) for a PBEsol-optimized structure of Sr2NiW.

Unit cell a=3.362 b=3.611 c=9.247 alpha=101.25 beta=100.47 gamma=90.00
Element x y z (fractional)
Ni  0.000  0.500  0.000
W  0.500  0.000  0.000
Sr  0.351  0.352  0.703
Sr  0.649  0.648  0.297

Computed properties:
**Energy above the most stable polymorph in this dataset**: 0.00 kcal/mol of atoms
**Size of the total moment**: 0.0 μB/cell
**Formation energy**: 2.81 eV/f.u.

---

Entry 12:
Density functional theory data (meta-GGA SCAN) for a PBEsol-optimized structure of Zr2BeIr.

Unit cell a=3.444 b=3.986 c=5.283 alpha=90.00 beta=109.02 gamma=90.00
Element x y z (fractional)
Ir  0.678  0.500  0.357
Be  0.824  0.000  0.648
Zr  0.107  0.000  0.215
Zr  0.392  0.500  0.785

Computed properties:
**Size of the total moment**: 0.0 μB/cell
**Formation energy**: -2.72 eV/f.u.

---

Entry 13:
Density functional theory data (meta-GGA SCAN) for a PBEsol-optimized structure of NbAg3B.

Unit cell a=4.274 b=4.274 c=4.274 alpha=90.00 beta=90.00 gamma=90.00
Element x y z (fractional)
Ag  0.500  0.000  0.000
Ag  0.000  0.000  0.500
Ag  0.000  0.500  0.000
B  0.000  0.000  0.000
Nb  0.500  0.500  0.500

Computed properties:
**Size of the total moment**: 1.9 μB/cell
**Formation energy**: 3.85 eV/f.u.